Here is a relaxed structure of BaLa2Pd from Alexandria. Energies are from PBE-GGA.

Calculated values
E above lowest polymorph	21.2	meV/atom
calculated formation energy	-0.2890	eV per atom
M_tot	0.00	μB/cell
total energy	-4.532	eV/atom

```
data_BaLa2Pd
_chemical_formula_sum 'Ba1 La2 Pd1'
_space_group_name_H-M_alt 'P 4/m m m'
_space_group_IT_number 123
_space_group_name_Hall '-P 4 2'
_cell_length_a 3.807
_cell_length_b 3.807
_cell_length_c 10.088
_cell_angle_alpha 90.00
_cell_angle_beta 90.00
_cell_angle_gamma 90.00
loop_
_atom_site_label
_atom_site_fract_x
_atom_site_fract_y
_atom_site_fract_z
Ba1 0.000 0.000 0.000
La1 0.500 0.500 0.338
Pd1 0.000 0.000 0.500
```